Record 1
# ZrMnIrAu PBE optimized geometry
data_ZrMnIrAu
_chemical_formula_sum 'Zr4 Mn4 Ir4 Au4'
_cell_length_a 6.537
_cell_length_b 6.537
_cell_length_c 6.537
_cell_angle_alpha 90.00
_cell_angle_beta 90.00
_cell_angle_gamma 90.00
_space_group_name_H-M_alt 'F -4 3 m'
_space_group_IT_number 216
_space_group_name_Hall 'F -4 2 3'
loop_
_atom_site_label
_atom_site_fract_x
_atom_site_fract_y
_atom_site_fract_z
Zr1 0.000 0.000 0.000
Mn1 0.000 0.000 0.500
Ir1 0.250 0.250 0.250
Au1 0.250 0.250 0.750
# Formation energy from the elements = -0.33 eV/atom



Record 2
# Zr3Si PBE optimized geometry
data_Zr3Si
_chemical_formula_sum 'Zr6 Si2'
_cell_length_a 3.985
_cell_length_b 4.378
_cell_length_c 9.333
_cell_angle_alpha 90.00
_cell_angle_beta 90.00
_cell_angle_gamma 90.00
_space_group_name_H-M_alt 'I m m m'
_space_group_IT_number 71
_space_group_name_Hall '-I 2 2'
loop_
_atom_site_label
_atom_site_fract_x
_atom_site_fract_y
_atom_site_fract_z
Zr1 0.000 0.000 0.000
Zr2 0.000 0.500 0.238
Si1 0.000 0.000 0.500
# Formation energy without anion corrections = -0.3098 eV per atom



Record 3
# DyY2TmTe5 PBE optimized geometry
data_DyY2TmTe5
_chemical_formula_sum 'Dy1 Y2 Tm1 Te5'
_cell_length_a 5.496
_cell_length_b 5.496
_cell_length_c 11.498
_cell_angle_alpha 90.00
_cell_angle_beta 90.00
_cell_angle_gamma 90.00
_space_group_name_H-M_alt 'P 4/m m m'
_space_group_IT_number 123
_space_group_name_Hall '-P 4 2'
loop_
_atom_site_label
_atom_site_fract_x
_atom_site_fract_y
_atom_site_fract_z
Dy1 0.000 0.000 0.000
Y1 0.500 0.500 0.348
Tm1 0.000 0.000 0.500
Te1 0.000 0.000 0.247
Te2 0.000 0.500 0.500
Te3 0.500 0.500 0.000
# Formation energy without anion corrections = -0.6891 eV per atom



Record 4
# NdAl2Ge2 PBE optimized geometry
data_NdAl2Ge2
_chemical_formula_sum 'Nd3 Al6 Ge6'
_cell_length_a 4.1361
_cell_length_b 4.1361
_cell_length_c 23.2290
_cell_angle_alpha 90.00
_cell_angle_beta 90.00
_cell_angle_gamma 120.00
_space_group_name_H-M_alt 'R -3 m'
_space_group_IT_number 166
_space_group_name_Hall '-R 3 2"'
loop_
_atom_site_label
_atom_site_fract_x
_atom_site_fract_y
_atom_site_fract_z
Nd1 0.0000 0.0000 0.0000
Al1 0.0000 0.0000 0.2156
Ge1 0.0000 0.0000 0.4152
# Formation energy from the elements = -0.21 eV/atom
# Offset from the most stable computed form = 231.8 meV/atom



Record 5
# Th2Be3GaPt4 PBE optimized geometry
data_Th2Be3GaPt4
_chemical_formula_sum 'Th2 Be3 Ga1 Pt4'
_cell_length_a 4.136
_cell_length_b 4.136
_cell_length_c 9.944
_cell_angle_alpha 90.00
_cell_angle_beta 90.00
_cell_angle_gamma 90.00
_space_group_name_H-M_alt 'P -4 m 2'
_space_group_IT_number 115
loop_
_space_group_symop_operation_xyz
'x,y,z'
'y,-x,-z'
'-x,-y,z'
'-y,x,-z'
'-x,y,z'
'-y,-x,-z'
'x,-y,z'
'y,x,-z'
loop_
_atom_site_label
_atom_site_fract_x
_atom_site_fract_y
_atom_site_fract_z
Th1 0.000 0.500 0.248
Be1 0.000 0.500 0.883
Be2 0.500 0.500 0.500
Ga1 0.000 0.000 0.500
Pt1 0.000 0.000 0.000
Pt2 0.000 0.500 0.646
Pt3 0.500 0.500 0.000
# Formation energy from the elements = -0.90 eV/atom



Record 6
# ScSiAs3 PBE optimized geometry
data_ScSiAs3
_chemical_formula_sum 'Sc1 Si1 As3'
_cell_length_a 4.761
_cell_length_b 4.761
_cell_length_c 4.761
_cell_angle_alpha 90.00
_cell_angle_beta 90.00
_cell_angle_gamma 90.00
_space_group_name_H-M_alt 'P m -3 m'
_space_group_IT_number 221
_space_group_name_Hall '-P 4 2 3'
loop_
_atom_site_label
_atom_site_fract_x
_atom_site_fract_y
_atom_site_fract_z
Sc1 0.000 0.000 0.000
Si1 0.500 0.500 0.500
As1 0.000 0.500 0.500
# Offset from the most stable computed form = 0.0 meV/atom
# Formation energy without anion corrections = 0.2372 eV per atom



Record 7
# AgBiI5 PBE optimized geometry
data_AgBiI5
_chemical_formula_sum 'Ag4 Bi4 I20'
_cell_length_a 10.417
_cell_length_b 14.832
_cell_length_c 9.034
_cell_angle_alpha 90.00
_cell_angle_beta 105.28
_cell_angle_gamma 90.00
_space_group_name_H-M_alt 'C 1 2/c 1'
_space_group_IT_number 15
loop_
_space_group_symop_operation_xyz
'x,y,z'
'-x,-y,-z'
'-x,y,-z+1/2'
'x,-y,z+1/2'
'x+1/2,y+1/2,z'
'-x+1/2,-y+1/2,-z'
'-x+1/2,y+1/2,-z+1/2'
'x+1/2,-y+1/2,z+1/2'
loop_
_atom_site_label
_atom_site_fract_x
_atom_site_fract_y
_atom_site_fract_z
Ag1 0.000 0.000 0.000
Bi1 0.000 0.475 0.250
I1 0.000 0.118 0.250
I2 0.013 0.359 0.543
I3 0.207 0.095 0.701
# Formation energy without anion corrections = -0.2135 eV per atom



Record 8
# Ac2PaCdPt6 PBE optimized geometry
data_Ac2PaCdPt6
_chemical_formula_sum 'Ac8 Pa4 Cd4 Pt24'
_cell_length_a 10.240
_cell_length_b 10.240
_cell_length_c 10.240
_cell_angle_alpha 90.00
_cell_angle_beta 90.00
_cell_angle_gamma 90.00
_space_group_name_H-M_alt 'F m -3 m'
_space_group_IT_number 225
_space_group_name_Hall '-F 4 2 3'
loop_
_atom_site_label
_atom_site_fract_x
_atom_site_fract_y
_atom_site_fract_z
Ac1 0.250 0.250 0.250
Pa1 0.000 0.000 0.000
Cd1 0.000 0.000 0.500
Pt1 0.000 0.000 0.249
# Formation energy from the elements = -0.38 eV/atom



Number 1: DFT total energy -7.80 eV per atom, calculated volume 279.3 Å³/cell. Number 2: DFT total energy -8.08 eV per atom, calculated volume 162.8 Å³/cell. Number 3: DFT total energy -4.88 eV per atom, calculated volume 347.4 Å³/cell. Number 4: DFT total energy -4.51 eV per atom, calculated volume 344.1 Å³/cell. Number 5: DFT total energy -6.22 eV per atom, calculated volume 170.1 Å³/cell. Number 6: DFT total energy -4.90 eV per atom, calculated volume 107.9 Å³/cell. Number 7: DFT total energy -2.28 eV per atom, calculated volume 1346.5 Å³/cell. Number 8: DFT total energy -5.87 eV per atom, calculated volume 1073.9 Å³/cell.